VASP calculation (PBE) on crystalline BePtPb at its relaxed geometry.

a b c (Å): 6.192 6.192 6.192
angles (deg): 90.00 90.00 90.00
Space group F-43m (No. 216)
Asymmetric unit:
Be1 0.000 0.000 0.000 x4
Pt1 0.250 0.250 0.250 x4
Pb1 0.000 0.000 0.500 x4

Summary:
Raw total energy ... -13.31 eV/f.u.
Excess energy over the best structure of this formula in the dataset ... 0 meV per atom

***

VASP calculation (PBE) on crystalline BePt2Pb at its relaxed geometry.

a b c (Å): 6.459 6.459 6.459
angles (deg): 90.00 90.00 90.00
Space group F-43m (No. 216)
Asymmetric unit:
Be1 0.000 0.000 0.000 x4
Pt1 0.000 0.000 0.500 x4
Pt2 0.250 0.250 0.250 x4
Pb1 0.250 0.250 0.750 x4

Summary:
Raw total energy ... -18.87 eV/f.u.

***

VASP calculation (PBE) on crystalline Be2Pt2Pb at its relaxed geometry.

a b c (Å): 3.549 3.549 12.528
angles (deg): 90.00 90.00 90.00
Space group I4/mmm (No. 139)
Asymmetric unit:
Be1 0.000 0.500 0.250 x4
Pt1 0.000 0.000 0.131 x4
Pb1 0.000 0.000 0.500 x2

Summary:
Raw total energy ... -25.08 eV/f.u.

***

VASP calculation (PBE) on crystalline SrBePtPb at its relaxed geometry.

a b c (Å): 6.949 6.949 6.949
angles (deg): 90.00 90.00 90.00
Space group F-43m (No. 216)
Asymmetric unit:
Sr1 0.000 0.000 0.000 x4
Be1 0.250 0.250 0.250 x4
Pt1 0.000 0.000 0.500 x4
Pb1 0.250 0.250 0.750 x4

Summary:
Raw total energy ... -14.98 eV/f.u.
Excess energy over the best structure of this formula in the dataset ... 16 meV per atom

***

VASP calculation (PBE) on crystalline SrBePtPb at its relaxed geometry.

a b c (Å): 7.079 7.079 7.079
angles (deg): 90.00 90.00 90.00
Space group F-43m (No. 216)
Asymmetric unit:
Sr1 0.000 0.000 0.000 x4
Be1 0.250 0.250 0.250 x4
Pt1 0.250 0.250 0.750 x4
Pb1 0.000 0.000 0.500 x4

Summary:
Raw total energy ... -15.05 eV/f.u.
Excess energy over the best structure of this formula in the dataset ... 0 meV per atom

***

VASP calculation (PBE) on crystalline SrBePtPb at its relaxed geometry.

a b c (Å): 7.061 7.061 7.061
angles (deg): 90.00 90.00 90.00
Space group F-43m (No. 216)
Asymmetric unit:
Sr1 0.000 0.000 0.000 x4
Be1 0.000 0.000 0.500 x4
Pt1 0.250 0.250 0.750 x4
Pb1 0.250 0.250 0.250 x4

Summary:
Raw total energy ... -14.63 eV/f.u.
Excess energy over the best structure of this formula in the dataset ... 105 meV per atom

***

VASP calculation (PBE) on crystalline TmBePbSe3 at its relaxed geometry.

a b c (Å): 3.740 15.494 10.674
angles (deg): 90.00 90.00 90.00
Space group Cmcm (No. 63)
Asymmetric unit:
Tm1 0.000 0.000 0.000 x4
Be1 0.000 0.459 0.250 x4
Pb1 0.000 0.253 0.750 x4
Se1 0.000 0.052 0.250 x4
Se2 0.000 0.376 0.076 x8

Summary:
Raw total energy ... -27.90 eV/f.u.

***

VASP calculation (PBE) on crystalline SmBePb at its relaxed geometry.

a b c (Å): 6.532 6.532 6.532
angles (deg): 90.00 90.00 90.00
Space group F-43m (No. 216)
Asymmetric unit:
Sm1 0.000 0.000 0.000 x4
Be1 0.250 0.250 0.750 x4
Pb1 0.000 0.000 0.500 x4

Summary:
Raw total energy ... -12.42 eV/f.u.
Excess energy over the best structure of this formula in the dataset ... 0 meV per atom

***

VASP calculation (PBE) on crystalline TaBe2Pb at its relaxed geometry.

a b c (Å): 6.462 6.462 6.462
angles (deg): 90.00 90.00 90.00
Space group F-43m (No. 216)
Asymmetric unit:
Ta1 0.000 0.000 0.000 x4
Be1 0.000 0.000 0.500 x4
Be2 0.250 0.250 0.250 x4
Pb1 0.250 0.250 0.750 x4

Summary:
Raw total energy ... -18.56 eV/f.u.

***

VASP calculation (PBE) on crystalline Ta2BePb at its relaxed geometry.

a b c (Å): 6.613 6.613 6.613
angles (deg): 90.00 90.00 90.00
Space group F-43m (No. 216)
Asymmetric unit:
Ta1 0.000 0.000 0.000 x4
Ta2 0.250 0.250 0.250 x4
Be1 0.250 0.250 0.750 x4
Pb1 0.000 0.000 0.500 x4

Summary:
Raw total energy ... -27.99 eV/f.u.

***

VASP calculation (PBE) on crystalline TaBeTcPb at its relaxed geometry.

a b c (Å): 6.445 6.445 6.445
angles (deg): 90.00 90.00 90.00
Space group F-43m (No. 216)
Asymmetric unit:
Ta1 0.000 0.000 0.000 x4
Be1 0.000 0.000 0.500 x4
Tc1 0.250 0.250 0.750 x4
Pb1 0.250 0.250 0.250 x4

Summary:
Raw total energy ... -27.21 eV/f.u.
Excess energy over the best structure of this formula in the dataset ... 170 meV per atom

***

VASP calculation (PBE) on crystalline TaBeTcPb at its relaxed geometry.

a b c (Å): 6.408 6.408 6.408
angles (deg): 90.00 90.00 90.00
Space group F-43m (No. 216)
Asymmetric unit:
Ta1 0.000 0.000 0.000 x4
Be1 0.250 0.250 0.250 x4
Tc1 0.000 0.000 0.500 x4
Pb1 0.250 0.250 0.750 x4

Summary:
Raw total energy ... -26.93 eV/f.u.
Excess energy over the best structure of this formula in the dataset ... 238 meV per atom

***

VASP calculation (PBE) on crystalline TaBeTcPb at its relaxed geometry.

a b c (Å): 6.402 6.402 6.402
angles (deg): 90.00 90.00 90.00
Space group F-43m (No. 216)
Asymmetric unit:
Ta1 0.000 0.000 0.000 x4
Be1 0.250 0.250 0.250 x4
Tc1 0.250 0.250 0.750 x4
Pb1 0.000 0.000 0.500 x4

Summary:
Raw total energy ... -27.88 eV/f.u.
Excess energy over the best structure of this formula in the dataset ... 0 meV per atom

***

VASP calculation (PBE) on crystalline BeTc2Pb at its relaxed geometry.

a b c (Å): 6.288 6.288 6.288
angles (deg): 90.00 90.00 90.00
Space group F-43m (No. 216)
Asymmetric unit:
Be1 0.000 0.000 0.000 x4
Tc1 0.000 0.000 0.500 x4
Tc2 0.250 0.250 0.250 x4
Pb1 0.250 0.250 0.750 x4

Summary:
Raw total energy ... -25.58 eV/f.u.

***

VASP calculation (PBE) on crystalline BeTcPb at its relaxed geometry.

a b c (Å): 5.830 5.830 5.830
angles (deg): 90.00 90.00 90.00
Space group F-43m (No. 216)
Asymmetric unit:
Be1 0.000 0.000 0.000 x4
Tc1 0.250 0.250 0.250 x4
Pb1 0.250 0.250 0.750 x4

Summary:
Raw total energy ... -15.79 eV/f.u.
Excess energy over the best structure of this formula in the dataset ... 0 meV per atom

***

VASP calculation (PBE) on crystalline BeTcPb2 at its relaxed geometry.

a b c (Å): 6.933 6.933 6.933
angles (deg): 90.00 90.00 90.00
Space group F-43m (No. 216)
Asymmetric unit:
Be1 0.000 0.000 0.000 x4
Tc1 0.250 0.250 0.750 x4
Pb1 0.000 0.000 0.500 x4
Pb2 0.250 0.250 0.250 x4

Summary:
Raw total energy ... -17.22 eV/f.u.